#a
PBE HgBSbI2, optimized geometry; SG = No. 123; calculated density = 4.8 Mg/m³
1.0
5.9852 0.0000 0.0000
0.0000 5.9852 0.0000
0.0000 0.0000 5.6130
Hg B Sb I
1 1 1 2
Direct
0.0000 0.0000 0.0000
0.5000 0.5000 0.5000
0.0000 0.0000 0.5000
0.0000 0.5000 0.0000
0.5000 0.0000 0.0000

#b
PBE HgBSbI2, optimized geometry; SG = No. 123; calculated density = 6.9 Mg/m³
1.0
5.5010 0.0000 0.0000
0.0000 5.5010 0.0000
0.0000 0.0000 4.6792
Hg B Sb I
1 1 1 2
Direct
0.0000 0.0000 0.0000
0.5000 0.5000 0.5000
0.5000 0.5000 0.0000
0.0000 0.5000 0.5000
0.5000 0.0000 0.5000

Most stable one: #b, least stable one: #a.

#a
PBE HgBTe2I, optimized geometry; SG = No. 123; calculated density = 7.7 Mg/m³
1.0
5.0165 0.0000 0.0000
0.0000 5.0165 0.0000
0.0000 0.0000 5.1143
Hg B Te I
1 1 2 1
Direct
0.0000 0.0000 0.0000
0.5000 0.5000 0.5000
0.0000 0.5000 0.5000
0.5000 0.0000 0.5000
0.5000 0.5000 0.0000

#b
PBE HgBTe2I, optimized geometry; SG = No. 123; calculated density = 5.2 Mg/m³
1.0
5.6319 0.0000 0.0000
0.0000 5.6319 0.0000
0.0000 0.0000 5.9797
Hg B Te I
1 1 2 1
Direct
0.0000 0.0000 0.0000
0.5000 0.5000 0.5000
0.0000 0.5000 0.0000
0.5000 0.0000 0.0000
0.0000 0.0000 0.5000

Most stable one: #a, least stable one: #b.

#a
PBE InHg3B, optimized geometry; SG = No. 221; calculated density = 6.7 Mg/m³
1.0
5.6505 0.0000 0.0000
0.0000 5.6505 0.0000
0.0000 0.0000 5.6505
In Hg B
1 3 1
Direct
0.0000 0.0000 0.0000
0.0000 0.0000 0.5000
0.0000 0.5000 0.0000
0.5000 0.0000 0.0000
0.5000 0.5000 0.5000

#b
PBE InHg3B, optimized geometry; SG = No. 221; calculated density = 10.6 Mg/m³
1.0
4.8417 0.0000 0.0000
0.0000 4.8417 0.0000
0.0000 0.0000 4.8417
In Hg B
1 3 1
Direct
0.0000 0.0000 0.0000
0.0000 0.5000 0.5000
0.5000 0.0000 0.5000
0.5000 0.5000 0.0000
0.5000 0.5000 0.5000

Most stable one: #b, least stable one: #a.

#a
PBE InHgB3, optimized geometry; SG = No. 221; calculated density = 6.0 Mg/m³
1.0
4.5875 0.0000 0.0000
0.0000 4.5875 0.0000
0.0000 0.0000 4.5875
In Hg B
1 1 3
Direct
0.0000 0.0000 0.0000
0.5000 0.5000 0.5000
0.0000 0.0000 0.5000
0.0000 0.5000 0.0000
0.5000 0.0000 0.0000

#b
PBE InHgB3, optimized geometry; SG = No. 221; calculated density = 6.4 Mg/m³
1.0
4.4751 0.0000 0.0000
0.0000 4.4751 0.0000
0.0000 0.0000 4.4751
In Hg B
1 1 3
Direct
0.0000 0.0000 0.0000
0.5000 0.5000 0.5000
0.0000 0.5000 0.5000
0.5000 0.0000 0.5000
0.5000 0.5000 0.0000

Most stable one: #b, least stable one: #a.

#a
PBE In2HgB2, optimized geometry; SG = No. 127; calculated density = 8.6 Mg/m³
1.0
6.7829 0.0000 0.0000
0.0000 6.7829 0.0000
0.0000 0.0000 3.8058
In Hg B
4 2 4
Direct
0.1931 0.3069 0.0000
0.3069 0.8069 0.0000
0.6931 0.1931 0.0000
0.8069 0.6931 0.0000
0.0000 0.0000 0.5000
0.5000 0.5000 0.5000
0.0849 0.5849 0.5000
0.4151 0.0849 0.5000
0.5849 0.9151 0.5000
0.9151 0.4151 0.5000

#b
PBE In2HgB2, optimized geometry; SG = No. 139; calculated density = 8.2 Mg/m³
1.0
-2.2737 2.2737 4.4419
2.2737 -2.2737 4.4419
2.2737 2.2737 -4.4419
In Hg B
2 1 2
Direct
0.2500 0.7500 0.5000
0.7500 0.2500 0.5000
0.0000 0.0000 0.0000
0.4078 0.4078 0.0000
0.5922 0.5922 0.0000

Most stable one: #b, least stable one: #a.

#a
PBE InHg2B, optimized geometry; SG = No. 122; calculated density = 8.1 Mg/m³
1.0
-2.9776 2.9776 6.1061
2.9776 -2.9776 6.1061
2.9776 2.9776 -6.1061
In Hg B
2 4 2
Direct
0.0000 0.0000 0.0000
0.7500 0.2500 0.5000
0.2740 0.6250 0.1490
0.3750 0.5240 0.6490
0.4760 0.1250 0.8510
0.8750 0.7260 0.3510
0.2500 0.7500 0.5000
0.5000 0.5000 0.0000

#b
PBE InHg2B, optimized geometry; SG = No. 225; calculated density = 10.1 Mg/m³
1.0
0.0000 3.5166 3.5166
3.5166 0.0000 3.5166
3.5166 3.5166 0.0000
In Hg B
1 2 1
Direct
0.0000 0.0000 0.0000
0.2500 0.2500 0.2500
0.7500 0.7500 0.7500
0.5000 0.5000 0.5000

Most stable one: #a, least stable one: #b.

#a
PBE In2HgB, optimized geometry; SG = No. 122; calculated density = 6.8 Mg/m³
1.0
-3.1826 3.1826 5.2781
3.1826 -3.1826 5.2781
3.1826 3.1826 -5.2781
In Hg B
4 2 2
Direct
0.0089 0.6250 0.8839
0.3750 0.2589 0.3839
0.7411 0.1250 0.1161
0.8750 0.9911 0.6161
0.2500 0.7500 0.5000
0.5000 0.5000 0.0000
0.0000 0.0000 0.0000
0.7500 0.2500 0.5000

#b
PBE In2HgB, optimized geometry; SG = No. 225; calculated density = 8.4 Mg/m³
1.0
0.0000 3.5139 3.5139
3.5139 0.0000 3.5139
3.5139 3.5139 0.0000
In Hg B
2 1 1
Direct
0.2500 0.2500 0.2500
0.7500 0.7500 0.7500
0.0000 0.0000 0.0000
0.5000 0.5000 0.5000

Most stable one: #a, least stable one: #b.

#a
PBE HgBIr2, optimized geometry; SG = No. 122; calculated density = 13.2 Mg/m³
1.0
-2.4054 2.4054 6.4549
2.4054 -2.4054 6.4549
2.4054 2.4054 -6.4549
Hg B Ir
2 2 4
Direct
0.0000 0.0000 0.0000
0.7500 0.2500 0.5000
0.2500 0.7500 0.5000
0.5000 0.5000 0.0000
0.2765 0.6250 0.1515
0.3750 0.5265 0.6515
0.4735 0.1250 0.8485
0.8750 0.7235 0.3485

#b
PBE HgBIr2, optimized geometry; SG = No. 225; calculated density = 17.1 Mg/m³
1.0
0.0000 3.0713 3.0713
3.0713 0.0000 3.0713
3.0713 3.0713 0.0000
Hg B Ir
1 1 2
Direct
0.0000 0.0000 0.0000
0.5000 0.5000 0.5000
0.2500 0.2500 0.2500
0.7500 0.7500 0.7500

Most stable one: #a, least stable one: #b.

#a
PBE HgBIr3, optimized geometry; SG = No. 221; calculated density = 10.7 Mg/m³
1.0
4.9589 0.0000 0.0000
0.0000 4.9589 0.0000
0.0000 0.0000 4.9589
Hg B Ir
1 1 3
Direct
0.0000 0.0000 0.0000
0.5000 0.5000 0.5000
0.0000 0.0000 0.5000
0.0000 0.5000 0.0000
0.5000 0.0000 0.0000

#b
PBE HgBIr3, optimized geometry; SG = No. 221; calculated density = 17.8 Mg/m³
1.0
4.1913 0.0000 0.0000
0.0000 4.1913 0.0000
0.0000 0.0000 4.1913
Hg B Ir
1 1 3
Direct
0.0000 0.0000 0.0000
0.5000 0.5000 0.5000
0.0000 0.5000 0.5000
0.5000 0.0000 0.5000
0.5000 0.5000 0.0000

Most stable one: #b, least stable one: #a.

#a
PBE Y2HgBIr, optimized geometry; SG = No. 123; calculated density = 9.1 Mg/m³
1.0
5.0421 0.0000 0.0000
0.0000 5.0421 0.0000
0.0000 0.0000 4.1535
Y Hg B Ir
2 1 1 1
Direct
0.0000 0.5000 0.0000
0.5000 0.0000 0.0000
0.0000 0.0000 0.5000
0.0000 0.0000 0.0000
0.5000 0.5000 0.5000

#b
PBE Y2HgBIr, optimized geometry; SG = No. 123; calculated density = 9.2 Mg/m³
1.0
5.1267 0.0000 0.0000
0.0000 5.1267 0.0000
0.0000 0.0000 3.9999
Y Hg B Ir
2 1 1 1
Direct
0.0000 0.5000 0.0000
0.5000 0.0000 0.0000
0.0000 0.0000 0.5000
0.5000 0.5000 0.0000
0.5000 0.5000 0.5000

Most stable one: #b, least stable one: #a.

#a
PBE KHg3B, optimized geometry; SG = No. 221; calculated density = 3.7 Mg/m³
1.0
6.6401 0.0000 0.0000
0.0000 6.6401 0.0000
0.0000 0.0000 6.6401
K Hg B
1 3 1
Direct
0.0000 0.0000 0.0000
0.0000 0.0000 0.5000
0.0000 0.5000 0.0000
0.5000 0.0000 0.0000
0.5000 0.5000 0.5000

#b
PBE KHg3B, optimized geometry; SG = No. 221; calculated density = 9.0 Mg/m³
1.0
4.9353 0.0000 0.0000
0.0000 4.9353 0.0000
0.0000 0.0000 4.9353
K Hg B
1 3 1
Direct
0.0000 0.0000 0.0000
0.0000 0.5000 0.5000
0.5000 0.0000 0.5000
0.5000 0.5000 0.0000
0.5000 0.5000 0.5000

Most stable one: #b, least stable one: #a.

#a
PBE K2HgB2, optimized geometry; SG = No. 139; calculated density = 4.1 Mg/m³
1.0
-3.1877 3.1877 2.9858
3.1877 -3.1877 2.9858
3.1877 3.1877 -2.9858
K Hg B
2 1 2
Direct
0.2500 0.7500 0.5000
0.7500 0.2500 0.5000
0.0000 0.0000 0.0000
0.3716 0.3716 0.0000
0.6284 0.6284 0.0000

#b
PBE K2HgB2, optimized geometry; SG = No. 127; calculated density = 4.7 Mg/m³
1.0
6.4633 0.0000 0.0000
0.0000 6.4633 0.0000
0.0000 0.0000 5.0637
K Hg B
4 2 4
Direct
0.1929 0.3071 0.0000
0.3071 0.8071 0.0000
0.6929 0.1929 0.0000
0.8071 0.6929 0.0000
0.0000 0.0000 0.5000
0.5000 0.5000 0.5000
0.0882 0.5882 0.5000
0.4118 0.0882 0.5000
0.5882 0.9118 0.5000
0.9118 0.4118 0.5000

Most stable one: #a, least stable one: #b.